Entry from Alexandria via LeMat-Bulk: a geometry-optimized B2H2Ru structure (PBE-GGA).

It has space group I4/mmm (No. 139), with a = 3.2248 Å, b = 3.2248 Å, c = 6.2171 Å, α = 90.00°, β = 90.00° and γ = 90.00°. The inequivalent atoms are B at (0.0000, 0.0000, 0.1318), H at (0.0000, 0.5000, 0.2500) and Ru at (0.0000, 0.0000, 0.5000).

As for the distance to the lowest polymorph of the same formula: 0.0000 eV/atom. The value obtained for the calculated total energy is -25.1 eV per formula unit.